Record 1
Material: ScZnSe2O
Method: DFT, PBE
State: optimized geometry

a = 5.056 Å, b = 5.056 Å, c = 3.869 Å
α = 90.00°, β = 90.00°, γ = 90.00°
Space group P4/mmm (No. 123)
Inequivalent atoms, fractional coordinates:
Sc (0.000, 0.000, 0.000) x1
Zn (0.500, 0.500, 0.000) x1
Se (0.000, 0.500, 0.500) x2
O (0.000, 0.000, 0.500) x1

Output
crystal system = tetragonal
final energy = -4.540 eV/atom
raw formation energy = -0.633 eV per atom
density = 4.77 g/cm3
V = 99 Å³ per cell

---

Record 2
Material: ZrScSe2O
Method: DFT, PBE
State: optimized geometry

a = 5.018 Å, b = 5.018 Å, c = 3.775 Å
α = 90.00°, β = 90.00°, γ = 90.00°
Space group P4/mmm (No. 123)
Inequivalent atoms, fractional coordinates:
Zr (0.000, 0.000, 0.000) x1
Sc (0.500, 0.500, 0.000) x1
Se (0.000, 0.500, 0.500) x2
O (0.500, 0.500, 0.500) x1

Output
energy relative to the lowest polymorph listed for this composition = 0.5582 eV per atom
crystal system = tetragonal
final energy = -6.293 eV/atom
raw formation energy = -0.931 eV per atom
density = 5.42 g/cm3
V = 95 Å³ per cell

---

Record 3
Material: ZrScSeO2
Method: DFT, PBE
State: optimized geometry

a = 3.995 Å, b = 3.995 Å, c = 7.417 Å
α = 90.00°, β = 90.00°, γ = 90.00°
Space group P4/mmm (No. 123)
Inequivalent atoms, fractional coordinates:
Zr (0.000, 0.000, 0.000) x1
Sc (0.000, 0.000, 0.500) x1
Se (0.500, 0.500, 0.500) x1
O (0.000, 0.500, 0.000) x2

Output
crystal system = tetragonal
final energy = -7.362 eV/atom
raw formation energy = -1.705 eV per atom
density = 3.47 g/cm3
V = 118 Å³ per cell

---

Please write out number 3 again, unchanged.
Material: ZrScSeO2
Method: DFT, PBE
State: optimized geometry

a = 3.995 Å, b = 3.995 Å, c = 7.417 Å
α = 90.00°, β = 90.00°, γ = 90.00°
Space group P4/mmm (No. 123)
Inequivalent atoms, fractional coordinates:
Zr (0.000, 0.000, 0.000) x1
Sc (0.000, 0.000, 0.500) x1
Se (0.500, 0.500, 0.500) x1
O (0.000, 0.500, 0.000) x2

Output
crystal system = tetragonal
final energy = -7.362 eV/atom
raw formation energy = -1.705 eV per atom
density = 3.47 g/cm3
V = 118 Å³ per cell